A plane-wave DFT calculation with PBE was carried out for a geometry-optimized Cd2In3Pb6 structure.

Cell and atoms, written as CIF:
```
data_Cd2In3Pb6
_chemical_formula_sum 'Cd2 In3 Pb6'
_space_group_name_H-M_alt 'P 1'
_space_group_IT_number 1
_cell_length_a 4.771
_cell_length_b 4.771
_cell_length_c 14.882
_cell_angle_alpha 90.00
_cell_angle_beta 90.00
_cell_angle_gamma 91.82
loop_
_space_group_symop_operation_xyz
'x,y,z'
loop_
_atom_site_label
_atom_site_type_symbol
_atom_site_fract_x
_atom_site_fract_y
_atom_site_fract_z
Cd1 Cd 0.000 0.000 0.185
Cd2 Cd 0.000 0.000 0.815
In1 In 0.000 0.000 0.500
In2 In 0.500 0.500 0.188
In3 In 0.500 0.500 0.812
Pb1 Pb 0.000 0.500 0.351
Pb2 Pb 0.000 0.500 0.649
Pb3 Pb 0.247 0.753 0.000
Pb4 Pb 0.500 0.000 0.351
Pb5 Pb 0.500 0.000 0.649
Pb6 Pb 0.753 0.247 0.000
```

DFT formation energy in kJ/mol of formula units: 90.4
E in eV/atom: -2.8507